Entry 1:
# Nd5TmIn6

Nd5TmIn6 after structural relaxation (PBE, the Alexandria database).

Values from the calculation:
- DFT total energy: -4.21 eV/atom
- Formation energy from the elements: -481.9 meV per atom
- D(E_F): 6.08 states/eV/f.u.

Cell lengths 5.452, 9.417, 9.435 Å; angles 60.06, 73.17, 54.55 degrees
Element x y z (fractional)
Nd (0.500, 0.172, 0.655)
Nd (0.000, 0.336, 0.329)
Nd (0.500, 0.500, 0.000)
Nd (0.000, 0.664, 0.671)
Nd (0.500, 0.828, 0.345)
Tm (0.000, 0.000, 0.000)
In (0.758, 0.079, 0.325)
In (0.242, 0.596, 0.325)
In (0.265, 0.235, 0.000)
In (0.735, 0.765, 0.000)
In (0.758, 0.404, 0.675)
In (0.242, 0.921, 0.675)


Entry 2:
# AcLaPm6Pr2

AcLaPm6Pr2 after structural relaxation (PBE, the Alexandria database).

Values from the calculation:
- DFT total energy: -4.59 eV/atom
- Formation energy from the elements: 117.8 meV per atom
- D(E_F): 15.70 states/eV/f.u.

Cell lengths 9.941, 9.210, 9.210 Å; angles 118.97, 93.17, 93.17 degrees
Element x y z (fractional)
Ac (0.250, 0.975, 0.025)
Ac (0.750, 0.025, 0.975)
La (0.250, 0.408, 0.592)
La (0.750, 0.592, 0.408)
Pm (0.056, 0.125, 0.745)
Pm (0.444, 0.255, 0.875)
Pm (0.944, 0.875, 0.255)
Pm (0.556, 0.745, 0.125)
Pm (0.318, 0.973, 0.436)
Pm (0.182, 0.564, 0.027)
Pm (0.682, 0.027, 0.564)
Pm (0.818, 0.436, 0.973)
Pm (0.118, 0.708, 0.499)
Pm (0.382, 0.501, 0.292)
Pm (0.882, 0.292, 0.501)
Pm (0.618, 0.499, 0.708)
Pr (0.456, 0.811, 0.693)
Pr (0.044, 0.307, 0.189)
Pr (0.544, 0.189, 0.307)
Pr (0.956, 0.693, 0.811)


> DFT total energy of number 1 (Nd5TmIn6)?

-4.21 eV/atom